The following is a DFT calculation (PBE-GGA) of a relaxed AcAlCdAu2 crystal.

Cell lengths 6.966, 6.966, 6.966 Å; angles 143.38, 143.38, 52.76 degrees
Fractional positions:
Ac 0.000 0.000 0.000
Al 0.750 0.250 0.500
Cd 0.250 0.750 0.500
Au 0.387 0.387 0.000
Au 0.613 0.613 0.000

Computed properties:
calculated total energy = -3.647 eV per atom
E_form = -0.582 eV per atom